#a
This record from Alexandria via LeMat-Bulk describes PbSe2Br after structural relaxation. The functional is PBE.

The structure in CIF format:
```
data_PbSe2Br
_symmetry_space_group_name_H-M 'P 1 2/m 1'
_symmetry_Int_Tables_number 10
_cell_length_a 4.445
_cell_length_b 5.792
_cell_length_c 5.127
_cell_angle_alpha 90.00
_cell_angle_beta 102.30
_cell_angle_gamma 90.00
loop_
_symmetry_equiv_pos_as_xyz
'x,y,z'
'-x,-y,-z'
'-x,y,-z'
'x,-y,z'
loop_
_atom_site_label
_atom_site_type_symbol
_atom_site_fract_x
_atom_site_fract_y
_atom_site_fract_z
_atom_site_occupancy
Pb1 Pb 0.000 0.000 0.000 1
Se1 Se 0.203 0.500 0.875 1
Br1 Br 0.500 0.000 0.500 1
```

=====

#b
This record from Alexandria via LeMat-Bulk describes PbSe2Br after structural relaxation. The functional is PBE.

The structure in CIF format:
```
data_PbSe2Br
_symmetry_space_group_name_H-M 'C 1 2/m 1'
_symmetry_Int_Tables_number 12
_cell_length_a 12.945
_cell_length_b 3.555
_cell_length_c 5.252
_cell_angle_alpha 90.00
_cell_angle_beta 98.68
_cell_angle_gamma 90.00
loop_
_symmetry_equiv_pos_as_xyz
'x,y,z'
'-x,-y,-z'
'-x,y,-z'
'x,-y,z'
'x+1/2,y+1/2,z'
'-x+1/2,-y+1/2,-z'
'-x+1/2,y+1/2,-z'
'x+1/2,-y+1/2,z'
loop_
_atom_site_label
_atom_site_type_symbol
_atom_site_fract_x
_atom_site_fract_y
_atom_site_fract_z
_atom_site_occupancy
Pb1 Pb 0.000 0.000 0.000 1
Se1 Se 0.206 0.500 0.129 1
Br1 Br 0.000 0.500 0.500 1
```

=====

Which structure is the most stable? The one labeled #a.

=====

#a
This record from Alexandria via LeMat-Bulk describes ScTl2Te after structural relaxation. The functional is PBE.

The structure in CIF format:
```
data_ScTl2Te
_symmetry_space_group_name_H-M 'I -4 2 d'
_symmetry_Int_Tables_number 122
_symmetry_space_group_name_Hall 'I -4 2bw'
_cell_length_a 8.712
_cell_length_b 8.712
_cell_length_c 6.117
_cell_angle_alpha 90.00
_cell_angle_beta 90.00
_cell_angle_gamma 90.00
loop_
_atom_site_label
_atom_site_type_symbol
_atom_site_fract_x
_atom_site_fract_y
_atom_site_fract_z
_atom_site_occupancy
Sc1 Sc 0.000 0.000 0.000 1
Tl1 Tl 0.232 0.250 0.125 1
Te1 Te 0.000 0.000 0.500 1
```

=====

#b
This record from Alexandria via LeMat-Bulk describes ScTl2Te after structural relaxation. The functional is PBE.

The structure in CIF format:
```
data_ScTl2Te
_symmetry_space_group_name_H-M 'R 3 m'
_symmetry_Int_Tables_number 160
_symmetry_space_group_name_Hall 'R 3 -2"'
_cell_length_a 3.8960
_cell_length_b 3.8960
_cell_length_c 27.7216
_cell_angle_alpha 90.00
_cell_angle_beta 90.00
_cell_angle_gamma 120.00
loop_
_atom_site_label
_atom_site_type_symbol
_atom_site_fract_x
_atom_site_fract_y
_atom_site_fract_z
_atom_site_occupancy
Sc1 Sc 0.0000 0.0000 0.0000 1
Tl1 Tl 0.0000 0.0000 0.2544 1
Tl2 Tl 0.0000 0.0000 0.4953 1
Te1 Te 0.0000 0.0000 0.7287 1
```

=====

Which structure is the most stable? The one labeled #b.